# 1
Material: Tb2Ni5P3
Method: DFT, GGA-PBE
State: optimized geometry

Results
Calculated formation energy (eV/atom): -0.88

Geometry as CIF:
```
data_Tb2Ni5P3
_chemical_formula_sum 'Tb8 Ni20 P12'
_symmetry_space_group_name_H-M 'C m c 21'
_symmetry_Int_Tables_number 36
_symmetry_space_group_name_Hall 'C 2c -2'
_cell_length_a 3.777
_cell_length_b 23.252
_cell_length_c 6.721
_cell_angle_alpha 90.00
_cell_angle_beta 90.00
_cell_angle_gamma 90.00
loop_
_atom_site_label
_atom_site_fract_x
_atom_site_fract_y
_atom_site_fract_z
_atom_site_occupancy
Tb1 0.000 0.050 0.000 1
Tb2 0.000 0.341 0.838 1
Ni1 0.000 0.068 0.414 1
Ni2 0.000 0.213 0.022 1
Ni3 0.000 0.219 0.644 1
Ni4 0.000 0.347 0.333 1
Ni5 0.000 0.444 0.155 1
P1 0.000 0.123 0.670 1
P2 0.000 0.253 0.331 1
P3 0.000 0.469 0.812 1
```

# 2
Material: Tb8Ni18P11
Method: DFT, GGA-PBE
State: optimized geometry

Results
Calculated formation energy (eV/atom): -0.98

Geometry as CIF:
```
data_Tb8Ni18P11
_chemical_formula_sum 'Tb16 Ni36 P22'
_symmetry_space_group_name_H-M 'P -6 m 2'
_symmetry_Int_Tables_number 187
_symmetry_space_group_name_Hall 'P -6 2'
_cell_length_a 18.0322
_cell_length_b 18.0322
_cell_length_c 3.8347
_cell_angle_alpha 90.00
_cell_angle_beta 90.00
_cell_angle_gamma 120.00
loop_
_atom_site_label
_atom_site_fract_x
_atom_site_fract_y
_atom_site_fract_z
_atom_site_occupancy
Tb1 0.0000 0.0000 0.0000 1
Tb2 0.0015 0.2172 0.0000 1
Tb3 0.0482 0.5241 0.5000 1
Tb4 0.2606 0.5212 0.5000 1
Tb5 0.4400 0.2200 0.0000 1
Ni1 0.0727 0.1454 0.5000 1
Ni2 0.0764 0.3697 0.5000 1
Ni3 0.1846 0.3691 0.0000 1
Ni4 0.1897 0.5948 0.0000 1
Ni5 0.2879 0.1439 0.5000 1
Ni6 0.3986 0.0277 0.0000 1
Ni7 0.4972 0.1289 0.5000 1
Ni8 0.5783 0.2891 0.5000 1
Ni9 0.6143 0.2285 0.0000 1
P1 0.1201 0.4525 0.0000 1
P2 0.1433 0.0717 0.5000 1
P3 0.1441 0.2882 0.5000 1
P4 0.3333 0.6667 0.0000 1
P5 0.3563 0.0713 0.5000 1
P6 0.5454 0.0907 0.0000 1
```

# 3
Material: TbNiP2
Method: DFT, GGA-PBE
State: optimized geometry

Results
Calculated formation energy (eV/atom): -0.97

Geometry as CIF:
```
data_TbNiP2
_chemical_formula_sum 'Tb8 Ni8 P16'
_symmetry_space_group_name_H-M 'F m m 2'
_symmetry_Int_Tables_number 42
_symmetry_space_group_name_Hall 'F 2 -2'
_cell_length_a 5.301
_cell_length_b 18.952
_cell_length_c 5.331
_cell_angle_alpha 90.00
_cell_angle_beta 90.00
_cell_angle_gamma 90.00
loop_
_atom_site_label
_atom_site_fract_x
_atom_site_fract_y
_atom_site_fract_z
_atom_site_occupancy
Tb1 0.000 0.118 0.000 1
Ni1 0.250 0.250 0.251 1
P1 0.000 0.183 0.501 1
P2 0.215 0.000 0.281 1
```

# 4
Material: TbNiP
Method: DFT, GGA-PBE
State: optimized geometry

Results
Calculated formation energy (eV/atom): -1.22

Geometry as CIF:
```
data_TbNiP
_chemical_formula_sum 'Tb2 Ni2 P2'
_symmetry_space_group_name_H-M 'P 63/m m c'
_symmetry_Int_Tables_number 194
_symmetry_space_group_name_Hall '-P 6c 2c'
_cell_length_a 3.8951
_cell_length_b 3.8951
_cell_length_c 7.8227
_cell_angle_alpha 90.00
_cell_angle_beta 90.00
_cell_angle_gamma 120.00
loop_
_atom_site_label
_atom_site_fract_x
_atom_site_fract_y
_atom_site_fract_z
_atom_site_occupancy
Tb1 0.0000 0.0000 0.0000 1
Ni1 0.3333 0.6667 0.2500 1
P1 0.3333 0.6667 0.7500 1
```

# 5
Material: TbNi3P3
Method: DFT, GGA-PBE
State: optimized geometry

Results
Calculated formation energy (eV/atom): -0.58

Geometry as CIF:
```
data_TbNi3P3
_chemical_formula_sum 'Tb2 Ni6 P6'
_symmetry_space_group_name_H-M 'P m -3 n'
_symmetry_Int_Tables_number 223
_symmetry_space_group_name_Hall '-P 4n 2 3'
_cell_length_a 6.110
_cell_length_b 6.110
_cell_length_c 6.110
_cell_angle_alpha 90.00
_cell_angle_beta 90.00
_cell_angle_gamma 90.00
loop_
_atom_site_label
_atom_site_fract_x
_atom_site_fract_y
_atom_site_fract_z
_atom_site_occupancy
Tb1 0.000 0.000 0.000 1
Ni1 0.000 0.250 0.500 1
P1 0.000 0.500 0.250 1
```

# 6
Material: Tb2TcNi3P4
Method: DFT, GGA-PBE
State: optimized geometry

Results
Calculated formation energy (eV/atom): -0.96

Geometry as CIF:
```
data_Tb2TcNi3P4
_chemical_formula_sum 'Tb2 Tc1 Ni3 P4'
_symmetry_space_group_name_H-M 'P -4 m 2'
_symmetry_Int_Tables_number 115
_symmetry_space_group_name_Hall 'P -4 -2'
_cell_length_a 4.002
_cell_length_b 4.002
_cell_length_c 9.307
_cell_angle_alpha 90.00
_cell_angle_beta 90.00
_cell_angle_gamma 90.00
loop_
_atom_site_label
_atom_site_fract_x
_atom_site_fract_y
_atom_site_fract_z
_atom_site_occupancy
Tb1 0.000 0.500 0.236 1
Tc1 0.000 0.000 0.500 1
Ni1 0.000 0.500 0.884 1
Ni2 0.500 0.500 0.500 1
P1 0.000 0.000 0.000 1
P2 0.000 0.500 0.639 1
P3 0.500 0.500 0.000 1
```

Question: Which value of calculated formation energy does entry 6 give?
Answer: -0.96 eV/atom